(1)
Compound: Sc2TiTcC
Source: the Alexandria database
Functional: GGA-PBE
Structure: relaxed

As for the total moment: 1.46 μB/f.u. The total energy comes out at -40.866 eV per formula unit. The calculation puts the energy of formation from the pure elements at -143.6 meV/atom.

The structure in CIF format:
```
data_Sc2TiTcC
_cell_length_a 4.5527
_cell_length_b 4.5527
_cell_length_c 4.0289
_cell_angle_alpha 90.00
_cell_angle_beta 90.00
_cell_angle_gamma 90.00
_space_group_name_H-M_alt 'P 4/m m m'
_space_group_IT_number 123
_space_group_name_Hall '-P 4 2'
loop_
_atom_site_label
_atom_site_fract_x
_atom_site_fract_y
_atom_site_fract_z
Sc1 0.0000 0.5000 0.0000
Ti1 0.0000 0.0000 0.5000
Tc1 0.5000 0.5000 0.5000
C1 0.5000 0.5000 0.0000
```


(2)
Compound: TmScTcC2
Source: the Alexandria database
Functional: GGA-PBE
Structure: relaxed

As for the total moment: 0.00 μB/f.u. The total energy comes out at -40.756 eV per formula unit. The calculation puts the energy of formation from the pure elements at -227.8 meV/atom.

The structure in CIF format:
```
data_TmScTcC2
_cell_length_a 13.1842
_cell_length_b 3.4965
_cell_length_c 8.6820
_cell_angle_alpha 90.00
_cell_angle_beta 130.02
_cell_angle_gamma 90.00
_space_group_name_H-M_alt 'C 1 2/m 1'
_space_group_IT_number 12
_space_group_name_Hall '-C 2y'
loop_
_atom_site_label
_atom_site_fract_x
_atom_site_fract_y
_atom_site_fract_z
Tm1 0.1982 0.0000 0.1135
Sc1 0.1322 0.5000 0.3897
Tc1 0.0630 0.0000 0.6841
C1 0.0977 0.5000 0.8325
C2 0.1790 0.0000 0.5959
```


(3)
Compound: ScU2TcC4
Source: the Alexandria database
Functional: GGA-PBE
Structure: relaxed

As for the total moment: 0.00 μB/f.u. The total energy comes out at -75.978 eV per formula unit. The calculation puts the energy of formation from the pure elements at 24.0 meV/atom.

The structure in CIF format:
```
data_ScU2TcC4
_cell_length_a 3.4947
_cell_length_b 11.3910
_cell_length_c 11.2153
_cell_angle_alpha 90.00
_cell_angle_beta 90.00
_cell_angle_gamma 90.00
_space_group_name_H-M_alt 'C m c m'
_space_group_IT_number 63
_space_group_name_Hall '-C 2c 2'
loop_
_atom_site_label
_atom_site_fract_x
_atom_site_fract_y
_atom_site_fract_z
Sc1 0.0000 0.1306 0.2500
U1 0.0000 0.3715 0.0451
Tc1 0.0000 0.1306 0.7500
C1 0.0000 0.0000 0.0000
C2 0.0000 0.2610 0.6240
C3 0.0000 0.4716 0.2500
```


(4)
Compound: YSc2TcC
Source: the Alexandria database
Functional: GGA-PBE
Structure: relaxed

As for the total moment: 0.00 μB/f.u. The total energy comes out at -39.425 eV per formula unit. The calculation puts the energy of formation from the pure elements at -141.5 meV/atom.

The structure in CIF format:
```
data_YSc2TcC
_cell_length_a 4.7169
_cell_length_b 4.7169
_cell_length_c 4.1147
_cell_angle_alpha 90.00
_cell_angle_beta 90.00
_cell_angle_gamma 90.00
_space_group_name_H-M_alt 'P 4/m m m'
_space_group_IT_number 123
_space_group_name_Hall '-P 4 2'
loop_
_atom_site_label
_atom_site_fract_x
_atom_site_fract_y
_atom_site_fract_z
Y1 0.0000 0.0000 0.0000
Sc1 0.0000 0.5000 0.5000
Tc1 0.5000 0.5000 0.0000
C1 0.5000 0.5000 0.5000
```